# NpPt4

A relaxed structure of NpPt4 (GGA-PBE, the Alexandria database).

a b c (Å): 4.2599 5.8581 7.9506
angles (deg): 111.62 105.54 90.00
Atoms (fractional coordinates):
Pt 0.9050 0.6550 0.8101
Pt 0.6924 0.6742 0.3849
Np 0.8840 0.1340 0.7679
Pt 0.0950 0.3450 0.1899
Pt 0.6924 0.2107 0.3849
Pt 0.3076 0.3258 0.6151
Pt 0.5000 0.5000 0.0000
Pt 0.5000 0.0000 0.0000
Np 0.1160 0.8660 0.2321
Pt 0.3076 0.7893 0.6151

N(E_F) ... 13.3 states/eV/f.u.
Total magnetic moment ... 2.8 μB per formula unit
Electronic total energy ... -7.93 eV/atom